A relaxed Mg2RuCl crystal, computed with PBE.

Unit cell a=3.2122 b=3.2122 c=8.1152 alpha=100.64 beta=100.64 gamma=60.90
With the nearest neighbours (Å) after each atom.
Element x y z (fractional)
Mg (0.2357, 0.2357, 0.2380)  3 Ru 2.65-2.66, 3 Cl 2.72-2.82
Mg (0.7643, 0.7643, 0.7620)  3 Ru 2.65-2.66, 3 Cl 2.72-2.82
Ru (0.5000, 0.5000, 0.0000)  6 Mg 2.65-2.66
Cl (0.0000, 0.0000, 0.5000)  6 Mg 2.72-2.82

total energy = -3.926 eV per atom
formation energy from raw total energies = -0.35 eV per atom
energy above the lowest structure with this stoichiometry = 0.336 eV per formula unit
DOS(E_F) = 2.49 states/eV per cell
space-group type = C2/m



A relaxed MgRuCl2 crystal, computed with PBE.

Unit cell a=4.4620 b=4.4620 c=3.2725 alpha=90.00 beta=90.00 gamma=90.00
With the nearest neighbours (Å) after each atom.
Element x y z (fractional)
Mg (0.0000, 0.0000, 0.0000)  8 Cl 2.77
Ru (0.5000, 0.5000, 0.0000)  8 Cl 2.77
Cl (0.0000, 0.5000, 0.5000)  4 Ru 2.77, 4 Mg 2.77
Cl (0.5000, 0.0000, 0.5000)  4 Ru 2.77, 4 Mg 2.77

total energy = -3.509 eV per atom
formation energy from raw total energies = 0.13 eV per atom
energy above the lowest structure with this stoichiometry = 2.379 eV per formula unit
DOS(E_F) = 2.85 states/eV per cell
space-group type = P4/mmm



A relaxed MgRuCl2 crystal, computed with PBE.

Unit cell a=7.8852 b=7.8852 c=7.8852 alpha=24.52 beta=24.52 gamma=24.52
With the nearest neighbours (Å) after each atom.
Element x y z (fractional)
Mg (0.0000, 0.0000, 0.0000)  6 Cl 2.44
Ru (0.5000, 0.5000, 0.5000)  2 Cl 2.33
Cl (0.3983, 0.3983, 0.3983)  1 Ru 2.33, 3 Mg 2.44
Cl (0.6017, 0.6017, 0.6017)  1 Ru 2.33, 3 Mg 2.44

total energy = -3.883 eV per atom
formation energy from raw total energies = -0.24 eV per atom
energy above the lowest structure with this stoichiometry = 0.882 eV per formula unit
DOS(E_F) = 3.94 states/eV per cell
space-group type = R-3m



A relaxed MgRuSCl2 crystal, computed with PBE.

Unit cell a=4.4174 b=4.4174 c=9.0953 alpha=90.00 beta=90.00 gamma=90.00
With the nearest neighbours (Å) after each atom.
Element x y z (fractional)
Mg (0.0000, 0.0000, 0.0000)  4 Cl 2.21
Ru (0.0000, 0.0000, 0.5000)  4 S 3.12
S (0.5000, 0.5000, 0.5000)  4 Ru 3.12
Cl (0.0000, 0.5000, 0.0000)  2 Mg 2.21
Cl (0.5000, 0.0000, 0.0000)  2 Mg 2.21

total energy = -3.459 eV per atom
formation energy from raw total energies = 0.28 eV per atom
energy above the lowest structure with this stoichiometry = 2.419 eV per formula unit
DOS(E_F) = 1.93 states/eV per cell
space-group type = P4/mmm



A relaxed MgRuSCl2 crystal, computed with PBE.

Unit cell a=4.6708 b=4.6708 c=5.1506 alpha=90.00 beta=90.00 gamma=90.00
With the nearest neighbours (Å) after each atom.
Element x y z (fractional)
Mg (0.0000, 0.0000, 0.0000)  4 Cl 2.34, 2 S 2.58
Ru (0.5000, 0.5000, 0.5000)  4 S 3.30, 8 Cl 3.48
S (0.0000, 0.0000, 0.5000)  2 Mg 2.58
Cl (0.0000, 0.5000, 0.0000)  2 Mg 2.34
Cl (0.5000, 0.0000, 0.0000)  2 Mg 2.34

total energy = -3.668 eV per atom
formation energy from raw total energies = 0.07 eV per atom
energy above the lowest structure with this stoichiometry = 1.373 eV per formula unit
DOS(E_F) = 3.78 states/eV per cell
space-group type = P4/mmm



A relaxed MgRuSCl2 crystal, computed with PBE.

Unit cell a=4.8933 b=4.8933 c=4.5114 alpha=90.00 beta=90.00 gamma=90.00
With the nearest neighbours (Å) after each atom.
Element x y z (fractional)
Mg (0.0000, 0.0000, 0.0000)  8 Cl 3.33, 4 S 3.46
Ru (0.5000, 0.5000, 0.5000)  2 S 2.26, 4 Cl 2.45
S (0.5000, 0.5000, 0.0000)  2 Ru 2.26
Cl (0.0000, 0.5000, 0.5000)  2 Ru 2.45
Cl (0.5000, 0.0000, 0.5000)  2 Ru 2.45

total energy = -3.943 eV per atom
formation energy from raw total energies = -0.20 eV per atom
energy above the lowest structure with this stoichiometry = 0.000 eV per formula unit
DOS(E_F) = 3.50 states/eV per cell
space-group type = P4/mmm



A relaxed MgRuSeCl2 crystal, computed with PBE.

Unit cell a=4.5890 b=4.5890 c=5.7034 alpha=90.00 beta=90.00 gamma=90.00
With the nearest neighbours (Å) after each atom.
Element x y z (fractional)
Mg (0.0000, 0.0000, 0.0000)  4 Cl 2.29
Ru (0.5000, 0.5000, 0.5000)  4 Se 3.24
Se (0.0000, 0.0000, 0.5000)  2 Mg 2.85
Cl (0.0000, 0.5000, 0.0000)  2 Mg 2.29
Cl (0.5000, 0.0000, 0.0000)  2 Mg 2.29

total energy = -3.601 eV per atom
formation energy from raw total energies = 0.01 eV per atom
DOS(E_F) = 2.38 states/eV per cell
space-group type = P4/mmm



A relaxed MgTeRuCl2 crystal, computed with PBE.

Unit cell a=4.5169 b=4.5169 c=6.7443 alpha=90.00 beta=90.00 gamma=90.00
With the nearest neighbours (Å) after each atom.
Element x y z (fractional)
Mg (0.0000, 0.0000, 0.0000)  4 Cl 2.26
Te (0.0000, 0.0000, 0.5000)  4 Ru 3.19, 2 Mg 3.37
Ru (0.5000, 0.5000, 0.5000)  4 Te 3.19
Cl (0.0000, 0.5000, 0.0000)  2 Mg 2.26
Cl (0.5000, 0.0000, 0.0000)  2 Mg 2.26

total energy = -3.593 eV per atom
formation energy from raw total energies = -0.05 eV per atom
DOS(E_F) = 5.40 states/eV per cell
space-group type = P4/mmm



A relaxed Mg2TlRuCl crystal, computed with PBE.

Unit cell a=5.4006 b=5.4006 c=5.5125 alpha=90.00 beta=90.00 gamma=90.00
With the nearest neighbours (Å) after each atom.
Element x y z (fractional)
Mg (0.0000, 0.5000, 0.0000)  2 Tl 2.70
Mg (0.5000, 0.0000, 0.0000)  2 Tl 2.70
Tl (0.0000, 0.0000, 0.0000)  4 Mg 2.70, 2 Cl 2.76
Ru (0.5000, 0.5000, 0.5000)  4 Cl 3.82, 8 Mg 3.86
Cl (0.0000, 0.0000, 0.5000)  2 Tl 2.76

total energy = -2.283 eV per atom
formation energy from raw total energies = 1.05 eV per atom
DOS(E_F) = 4.93 states/eV per cell
space-group type = P4/mmm



A relaxed MgRuW2Cl crystal, computed with PBE.

Unit cell a=4.4140 b=4.4140 c=4.4197 alpha=90.00 beta=90.00 gamma=90.00
With the nearest neighbours (Å) after each atom.
Element x y z (fractional)
Mg (0.0000, 0.0000, 0.0000)  4 Ru 3.12, 8 W 3.12
Ru (0.5000, 0.5000, 0.0000)  2 Cl 2.21
W (0.0000, 0.5000, 0.5000)  2 Cl 2.21
W (0.5000, 0.0000, 0.5000)  2 Cl 2.21
Cl (0.5000, 0.5000, 0.5000)  4 W 2.21, 2 Ru 2.21

total energy = -6.521 eV per atom
formation energy from raw total energies = 1.20 eV per atom
DOS(E_F) = 6.57 states/eV per cell
space-group type = P4/mmm



A relaxed MgS2Cl2 crystal, computed with PBE.

Unit cell a=6.6238 b=6.6238 c=7.8949 alpha=90.00 beta=90.00 gamma=90.00
With the nearest neighbours (Å) after each atom.
Element x y z (fractional)
Mg (0.0000, 0.0000, 0.0000)  4 Cl 2.41
Mg (0.5000, 0.5000, 0.0000)  4 Cl 2.41
S (0.1014, 0.3986, 0.5000)  1 S 1.90
S (0.3986, 0.8986, 0.5000)  1 S 1.90
S (0.6014, 0.1014, 0.5000)  1 S 1.90
S (0.8986, 0.6014, 0.5000)  1 S 1.90
Cl (0.1894, 0.6894, 0.0000)  2 Mg 2.41
Cl (0.3106, 0.1894, 0.0000)  2 Mg 2.41
Cl (0.6894, 0.8106, 0.0000)  2 Mg 2.41
Cl (0.8106, 0.3106, 0.0000)  2 Mg 2.41

total energy = -3.408 eV per atom
formation energy from raw total energies = -0.70 eV per atom
energy above the lowest structure with this stoichiometry = 0.000 eV per formula unit
DOS(E_F) = 0.54 states/eV per cell
space-group type = P4/mbm



A relaxed Mg2SCl2 crystal, computed with PBE.

Unit cell a=3.6838 b=3.6838 c=9.6267 alpha=90.00 beta=90.00 gamma=120.00
With the nearest neighbours (Å) after each atom.
Element x y z (fractional)
Mg (0.3333, 0.6667, 0.3424)  3 Cl 2.53, 3 S 2.61
Mg (0.6667, 0.3333, 0.6576)  3 Cl 2.53, 3 S 2.61
S (0.0000, 0.0000, 0.5000)  6 Mg 2.61
Cl (0.3333, 0.6667, 0.7995)  3 Mg 2.53
Cl (0.6667, 0.3333, 0.2005)  3 Mg 2.53

total energy = -3.889 eV per atom
formation energy from raw total energies = -1.69 eV per atom
DOS(E_F) = 0.00 states/eV per cell
space-group type = P-3m1



A relaxed Mg3SCl crystal, computed with PBE.

Unit cell a=5.0949 b=5.0949 c=5.0949 alpha=90.00 beta=90.00 gamma=90.00
With the nearest neighbours (Å) after each atom.
Element x y z (fractional)
Mg (0.0000, 0.0000, 0.5000)  2 S 2.55
Mg (0.0000, 0.5000, 0.0000)  2 S 2.55
Mg (0.5000, 0.0000, 0.0000)  2 S 2.55
S (0.0000, 0.0000, 0.0000)  6 Mg 2.55
Cl (0.5000, 0.5000, 0.5000)  12 Mg 3.60

total energy = -2.412 eV per atom
formation energy from raw total energies = -0.26 eV per atom
energy above the lowest structure with this stoichiometry = 0.000 eV per formula unit
DOS(E_F) = 5.23 states/eV per cell
space-group type = Pm-3m



A relaxed MgS2Cl2 crystal, computed with PBE.

Unit cell a=11.5347 b=11.5347 c=11.5347 alpha=163.53 beta=163.53 gamma=23.37
With the nearest neighbours (Å) after each atom.
Element x y z (fractional)
Mg (0.0000, 0.0000, 0.0000)  8 Cl 2.78
S (0.2500, 0.7500, 0.5000)  4 S 2.34
S (0.7500, 0.2500, 0.5000)  4 S 2.34
Cl (0.4335, 0.4335, 0.0000)  4 Mg 2.78, 1 Cl 3.00
Cl (0.5665, 0.5665, 0.0000)  4 Mg 2.78, 1 Cl 3.00

total energy = -3.365 eV per atom
formation energy from raw total energies = -0.66 eV per atom
energy above the lowest structure with this stoichiometry = 0.216 eV per formula unit
DOS(E_F) = 0.91 states/eV per cell
space-group type = I4/mmm



A relaxed MgS2Cl crystal, computed with PBE.

Unit cell a=10.8294 b=10.8294 c=10.8294 alpha=158.90 beta=158.90 gamma=30.02
With the nearest neighbours (Å) after each atom.
Element x y z (fractional)
Mg (0.0000, 0.0000, 0.0000)  4 Cl 2.80, 4 S 2.84
Mg (0.7500, 0.2500, 0.5000)  4 Cl 2.80, 4 S 2.84
S (0.3750, 0.2471, 0.3721)  2 S 2.21
S (0.7529, 0.1250, 0.1279)  2 S 2.21
S (0.8750, 0.0029, 0.6279)  2 S 2.21
S (0.9971, 0.6250, 0.8721)  2 S 2.21
Cl (0.2500, 0.7500, 0.5000)  4 Mg 2.80
Cl (0.5000, 0.5000, 0.0000)  4 Mg 2.80

total energy = -3.438 eV per atom
formation energy from raw total energies = -0.51 eV per atom
energy above the lowest structure with this stoichiometry = 0.000 eV per formula unit
DOS(E_F) = 4.23 states/eV per cell
space-group type = I-42d



A relaxed MgS2Cl crystal, computed with PBE.

Unit cell a=4.7142 b=4.7142 c=4.7142 alpha=60.00 beta=60.00 gamma=60.00
With the nearest neighbours (Å) after each atom.
Element x y z (fractional)
Mg (0.0000, 0.0000, 0.0000)  8 S 2.89
S (0.2500, 0.2500, 0.2500)  4 Cl 2.89, 4 Mg 2.89
S (0.7500, 0.7500, 0.7500)  4 Cl 2.89, 4 Mg 2.89
Cl (0.5000, 0.5000, 0.5000)  8 S 2.89

total energy = -2.682 eV per atom
formation energy from raw total energies = 0.24 eV per atom
energy above the lowest structure with this stoichiometry = 3.024 eV per formula unit
DOS(E_F) = 6.40 states/eV per cell
space-group type = Fm-3m



A relaxed MgS4Cl crystal, computed with PBE.

Unit cell a=4.5443 b=8.2539 c=8.8846 alpha=95.49 beta=102.44 gamma=104.03
With the nearest neighbours (Å) after each atom.
Element x y z (fractional)
Mg (0.0418, 0.1964, 0.3546)  2 Cl 2.46-2.49, 3 S 2.58-2.67
Mg (0.9582, 0.8036, 0.6454)  2 Cl 2.46-2.49, 3 S 2.58-2.67
S (0.0571, 0.2493, 0.0729)  1 S 1.98
S (0.1100, 0.1256, 0.6455)  1 S 2.03
S (0.3022, 0.8919, 0.0944)  2 S 1.98-2.08
S (0.4696, 0.2805, 0.8142)  2 S 2.03-2.08
S (0.5304, 0.7195, 0.1858)  2 S 2.03-2.08
S (0.6978, 0.1081, 0.9056)  2 S 1.98-2.08
S (0.8900, 0.8744, 0.3545)  1 S 2.03
S (0.9429, 0.7507, 0.9271)  1 S 1.98
Cl (0.3852, 0.6811, 0.6086)  2 Mg 2.46-2.49
Cl (0.6148, 0.3189, 0.3914)  2 Mg 2.46-2.49

total energy = -3.805 eV per atom
formation energy from raw total energies = -0.48 eV per atom
DOS(E_F) = 4.46 states/eV per cell
space-group type = P-1



A relaxed Mg7SCl12 crystal, computed with PBE.

Unit cell a=8.2187 b=8.2187 c=8.2187 alpha=107.56 beta=107.56 gamma=107.56
With the nearest neighbours (Å) after each atom.
Element x y z (fractional)
Mg (0.0000, 0.0000, 0.0000)  6 Cl 2.51
Mg (0.1501, 0.3805, 0.4639)  5 Cl 2.48-2.61, 1 S 2.63
Mg (0.3805, 0.4639, 0.1501)  5 Cl 2.48-2.61, 1 S 2.63
Mg (0.4639, 0.1501, 0.3805)  5 Cl 2.48-2.61, 1 S 2.63
Mg (0.5361, 0.8499, 0.6195)  5 Cl 2.48-2.61, 1 S 2.63
Mg (0.6195, 0.5361, 0.8499)  5 Cl 2.48-2.61, 1 S 2.63
Mg (0.8499, 0.6195, 0.5361)  5 Cl 2.48-2.61, 1 S 2.63
S (0.5000, 0.5000, 0.5000)  6 Mg 2.63
Cl (0.0522, 0.3400, 0.1209)  3 Mg 2.49-2.57
Cl (0.1209, 0.0522, 0.3400)  3 Mg 2.49-2.57
Cl (0.1870, 0.7105, 0.5741)  3 Mg 2.48-2.61
Cl (0.2895, 0.4259, 0.8130)  3 Mg 2.48-2.61
Cl (0.3399, 0.1209, 0.0522)  3 Mg 2.49-2.57
Cl (0.4259, 0.8130, 0.2895)  3 Mg 2.48-2.61
Cl (0.5741, 0.1870, 0.7105)  3 Mg 2.48-2.61
Cl (0.6600, 0.8791, 0.9478)  3 Mg 2.49-2.57
Cl (0.7105, 0.5741, 0.1870)  3 Mg 2.48-2.61
Cl (0.8130, 0.2895, 0.4259)  3 Mg 2.48-2.61
Cl (0.8791, 0.9477, 0.6600)  3 Mg 2.49-2.57
Cl (0.9478, 0.6600, 0.8791)  3 Mg 2.49-2.57

total energy = -3.650 eV per atom
formation energy from raw total energies = -1.78 eV per atom
DOS(E_F) = 0.00 states/eV per cell
space-group type = R-3



A relaxed MgSCl crystal, computed with PBE.

Unit cell a=8.8588 b=8.8588 c=8.8588 alpha=111.29 beta=111.29 gamma=111.29
With the nearest neighbours (Å) after each atom.
Element x y z (fractional)
Mg (0.2008, 0.2013, 0.6085)  2 Cl 2.35-2.36, 2 S 2.52-2.54
Mg (0.2013, 0.6085, 0.2008)  2 Cl 2.35-2.36, 2 S 2.52-2.54
Mg (0.3915, 0.7992, 0.7987)  2 Cl 2.35-2.36, 2 S 2.52-2.54
Mg (0.6085, 0.2008, 0.2013)  2 Cl 2.35-2.36, 2 S 2.52-2.54
Mg (0.7987, 0.3915, 0.7992)  2 Cl 2.35-2.36, 2 S 2.52-2.54
Mg (0.7992, 0.7987, 0.3915)  2 Cl 2.35-2.36, 2 S 2.52-2.54
S (0.0486, 0.7587, 0.0656)  2 Mg 2.52-2.54, 2 S 2.61
S (0.0656, 0.0486, 0.7587)  2 Mg 2.52-2.54, 2 S 2.61
S (0.2413, 0.9344, 0.9514)  2 Mg 2.52-2.54, 2 S 2.61
S (0.7587, 0.0656, 0.0486)  2 Mg 2.52-2.54, 2 S 2.61
S (0.9344, 0.9514, 0.2413)  2 Mg 2.52-2.54, 2 S 2.61
S (0.9514, 0.2413, 0.9344)  2 Mg 2.52-2.54, 2 S 2.61
Cl (0.1649, 0.6319, 0.4578)  2 Mg 2.35-2.36
Cl (0.3681, 0.5422, 0.8351)  2 Mg 2.35-2.36
Cl (0.4578, 0.1649, 0.6319)  2 Mg 2.35-2.36
Cl (0.5422, 0.8351, 0.3681)  2 Mg 2.35-2.36
Cl (0.6319, 0.4578, 0.1649)  2 Mg 2.35-2.36
Cl (0.8351, 0.3681, 0.5422)  2 Mg 2.35-2.36

total energy = -3.527 eV per atom
formation energy from raw total energies = -1.00 eV per atom
DOS(E_F) = 4.92 states/eV per cell
space-group type = R-3



A relaxed MgS3Cl3 crystal, computed with PBE.

Unit cell a=6.6380 b=8.5267 c=8.9311 alpha=78.25 beta=80.43 gamma=89.18
With the nearest neighbours (Å) after each atom.
Element x y z (fractional)
Mg (0.2447, 0.0219, 0.0349)  4 Cl 2.39-2.43
Mg (0.7553, 0.9781, 0.9651)  4 Cl 2.39-2.43
S (0.2519, 0.5505, 0.5562)  1 S 1.94
S (0.4830, 0.6982, 0.4866)  2 S 1.94-2.11
S (0.4835, 0.2984, 0.2837)  1 Cl 2.10, 1 S 2.11
S (0.5165, 0.7016, 0.7163)  1 Cl 2.10, 1 S 2.11
S (0.5170, 0.3018, 0.5134)  2 S 1.94-2.11
S (0.7481, 0.4495, 0.4438)  1 S 1.94
Cl (0.0787, 0.0780, 0.8098)  2 Mg 2.41-2.42
Cl (0.2231, 0.1570, 0.2970)  1 S 2.10
Cl (0.4640, 0.7975, 0.0734)  2 Mg 2.39-2.43
Cl (0.5360, 0.2025, 0.9266)  2 Mg 2.39-2.43
Cl (0.7769, 0.8430, 0.7030)  1 S 2.10
Cl (0.9213, 0.9220, 0.1902)  2 Mg 2.41-2.42

total energy = -3.489 eV per atom
formation energy from raw total energies = -0.70 eV per atom
DOS(E_F) = 0.00 states/eV per cell
space-group type = P-1